Computed, not measured: a relaxed Na2In2Sn7 crystal at the PBE level of DFT.

As for the formation energy: -0.021 eV/atom. For the total DFT energy (no corrections), the calculation gives -3.31 eV/atom.

The space group is C2/m (No. 12) and the conventional cell measures 10.936, 10.549 and 5.679 Å, with angles of 90.00, 101.28 and 90.00 degrees. Symmetry generates all atoms from Na at (0.249, 0.000, 0.211), In at (0.000, 0.193, 0.000), Sn at (0.000, 0.000, 0.500), Sn at (0.057, 0.500, 0.260) and Sn at (0.232, 0.184, 0.722).

Computed, not measured: a relaxed Na2In3Sn crystal at the PBE level of DFT.

As for the formation energy: -0.132 eV/atom. For the polymorph energy (0 for the lowest one), the calculation gives 0 meV per atom. For the total DFT energy (no corrections), the calculation gives -2.61 eV/atom.

The space group is P6_3/mmc (No. 194) and the conventional cell measures 10.4276, 10.4276 and 6.8923 Å, with angles of 90.00, 90.00 and 120.00 degrees. Symmetry generates all atoms from Na at (0.0000, 0.0000, 0.2500), Na at (0.0192, 0.5096, 0.2500), In at (0.1657, 0.3314, 0.5095) and Sn at (0.3333, 0.6667, 0.5335).

Computed, not measured: a relaxed NaInSn4 crystal at the PBE level of DFT.

As for the formation energy: -0.071 eV/atom. For the polymorph energy (0 for the lowest one), the calculation gives 0 meV per atom. For the total DFT energy (no corrections), the calculation gives -3.42 eV/atom.

The space group is P2/c (No. 13) and the conventional cell measures 6.432, 9.256 and 5.489 Å, with angles of 90.00, 90.59 and 90.00 degrees. Symmetry generates all atoms from Na at (0.000, 0.250, 0.250), In at (0.500, 0.250, 0.250), Sn at (0.258, 0.082, 0.748) and Sn at (0.258, 0.418, 0.749).

Computed, not measured: a relaxed NaIn2Sn crystal at the PBE level of DFT.

As for the formation energy: -0.058 eV/atom. For the total DFT energy (no corrections), the calculation gives -2.76 eV/atom.

The space group is P4/mmm (No. 123) and the conventional cell measures 3.979, 3.979 and 6.893 Å, with angles of 90.00, 90.00 and 90.00 degrees. Symmetry generates all atoms from Na at (0.000, 0.000, 0.000), In at (0.500, 0.500, 0.260) and Sn at (0.000, 0.000, 0.500).

Computed, not measured: a relaxed NaIn4Sn crystal at the PBE level of DFT.

As for the formation energy: 0.023 eV/atom. For the polymorph energy (0 for the lowest one), the calculation gives 70 meV per atom. For the total DFT energy (no corrections), the calculation gives -2.69 eV/atom.

The space group is F-43m (No. 216) and the conventional cell measures 8.810, 8.810 and 8.810 Å, with angles of 90.00, 90.00 and 90.00 degrees. Symmetry generates all atoms from Na at (0.000, 0.000, 0.000), In at (0.125, 0.125, 0.625) and Sn at (0.250, 0.250, 0.250).

Computed, not measured: a relaxed NaIn3Sn2 crystal at the PBE level of DFT.

As for the formation energy: 0.000 eV/atom. For the polymorph energy (0 for the lowest one), the calculation gives 46 meV per atom. For the total DFT energy (no corrections), the calculation gives -2.92 eV/atom.

The space group is Cmcm (No. 63) and the conventional cell measures 9.320, 11.115 and 6.434 Å, with angles of 90.00, 90.00 and 90.00 degrees. Symmetry generates all atoms from Na at (0.000, 0.215, 0.250), In at (0.000, 0.496, 0.250), In at (0.168, 0.253, 0.750) and Sn at (0.181, 0.000, 0.000).

Computed, not measured: a relaxed NaIn5Sn2 crystal at the PBE level of DFT.

As for the formation energy: 0.018 eV/atom. For the polymorph energy (0 for the lowest one), the calculation gives 54 meV per atom. For the total DFT energy (no corrections), the calculation gives -2.86 eV/atom.

The space group is Immm (No. 71) and the conventional cell measures 4.733, 9.908 and 10.184 Å, with angles of 90.00, 90.00 and 90.00 degrees. Symmetry generates all atoms from Na at (0.000, 0.000, 0.000), In at (0.000, 0.186, 0.346), In at (0.000, 0.500, 0.000) and Sn at (0.000, 0.500, 0.285).

Computed, not measured: a relaxed NaInSn3 crystal at the PBE level of DFT.

As for the formation energy: -0.012 eV/atom. For the polymorph energy (0 for the lowest one), the calculation gives 0 meV per atom. For the total DFT energy (no corrections), the calculation gives -3.23 eV/atom.

The space group is R-3 (No. 148, hexagonal axes) and the conventional cell measures 6.7869, 6.7869 and 22.6239 Å, with angles of 90.00, 90.00 and 120.00 degrees. Symmetry generates all atoms from Na at (0.0000, 0.0000, 0.1652), In at (0.0000, 0.0000, 0.4182) and Sn at (0.0092, 0.4750, 0.3836).

Question: The highest total DFT energy (no corrections) belongs to which entry?
Answer: Na2In3Sn

Copy entry 6 word for word.
Computed, not measured: a relaxed NaIn3Sn2 crystal at the PBE level of DFT.

As for the formation energy: 0.000 eV/atom. For the polymorph energy (0 for the lowest one), the calculation gives 46 meV per atom. For the total DFT energy (no corrections), the calculation gives -2.92 eV/atom.

The space group is Cmcm (No. 63) and the conventional cell measures 9.320, 11.115 and 6.434 Å, with angles of 90.00, 90.00 and 90.00 degrees. Symmetry generates all atoms from Na at (0.000, 0.215, 0.250), In at (0.000, 0.496, 0.250), In at (0.168, 0.253, 0.750) and Sn at (0.181, 0.000, 0.000).